(1)
Below is a relaxed CdPF2 crystal, with properties calculated at the PBE level.

Computed properties:
**Relative energy among the computed polymorphs**: 0.000 eV per atom
**Formation energy without anion corrections**: -1179 meV/atom
**Total moment**: 0.00 μB per cell

abc: 8.6988 8.6988 8.6988
angles: 19.12 19.12 19.12
Fractional positions:
Cd: 0.0000 0.0000 0.0000
P: 0.5000 0.5000 0.5000
F: 0.4322 0.4322 0.4322
F: 0.5678 0.5678 0.5678

(2)
Below is a relaxed Nd2HoHg2 crystal, with properties calculated at the PBE level.

Computed properties:
**Relative energy among the computed polymorphs**: 0.075 eV per atom
**ΔH_f (0 K)**: -291 meV per atom
**Total moment**: 0.00 μB per cell

abc: 6.5284 6.5284 6.5284
angles: 143.24 112.03 79.84
Fractional positions:
Nd: 0.2083 0.2083 0.0000
Nd: 0.7917 0.7917 0.0000
Ho: 0.5000 0.0000 0.5000
Hg: 0.2062 0.5000 0.7062
Hg: 0.7938 0.5000 0.2938

(3)
Below is a relaxed Rb2Ti2V crystal, with properties calculated at the PBE level.

Computed properties:
**Relative energy among the computed polymorphs**: 0.000 eV per atom
**ΔH_f (0 K)**: 1223 meV per atom
**Total moment**: 4.33 μB per cell

abc: 13.2651 13.2651 13.2651
angles: 164.43 164.43 22.09
Fractional positions:
Rb: 0.1147 0.1147 0.0000
Rb: 0.8853 0.8853 0.0000
Ti: 0.2500 0.7500 0.5000
Ti: 0.7500 0.2500 0.5000
V: 0.5000 0.5000 0.0000

(4)
Below is a relaxed RbCu2BiF8 crystal, with properties calculated at the PBE level.

Computed properties:
**Formation energy without anion corrections**: -1916 meV/atom
**Total moment**: 2.01 μB per cell

abc: 8.3319 8.3319 8.3319
angles: 39.51 39.51 39.51
Fractional positions:
Rb: 0.0000 0.0000 0.0000
Cu: 0.2515 0.2515 0.2515
Cu: 0.7485 0.7485 0.7485
Bi: 0.5000 0.5000 0.5000
F: 0.1102 0.4479 0.7719
F: 0.2281 0.8898 0.5521
F: 0.3305 0.3305 0.3305
F: 0.4479 0.7719 0.1102
F: 0.5521 0.2281 0.8898
F: 0.6695 0.6695 0.6695
F: 0.7719 0.1102 0.4479
F: 0.8898 0.5521 0.2281

(5)
Below is a relaxed K2RbScI6 crystal, with properties calculated at the PBE level.

Computed properties:
**Formation energy without anion corrections**: -1369 meV/atom
**Total moment**: 0.00 μB per cell

abc: 9.0189 9.0189 9.0189
angles: 57.35 57.35 57.35
Fractional positions:
K: 0.0000 0.0000 0.0000
K: 0.4877 0.4877 0.4877
Rb: 0.1991 0.1991 0.1991
Sc: 0.6896 0.6896 0.6896
I: 0.0247 0.4685 0.7940
I: 0.3482 0.8883 0.5990
I: 0.4685 0.7940 0.0247
I: 0.5990 0.3482 0.8883
I: 0.7940 0.0247 0.4685
I: 0.8883 0.5990 0.3482

(6)
Below is a relaxed CaLaPbO2 crystal, with properties calculated at the PBE level.

Computed properties:
**Formation energy without anion corrections**: -20 meV/atom
**Total moment**: 0.59 μB per cell

abc: 4.7286 4.7286 5.6436
angles: 90.00 90.00 90.00
Fractional positions:
Ca: 0.0000 0.0000 0.0000
La: 0.5000 0.5000 0.0000
Pb: 0.0000 0.0000 0.5000
O: 0.0000 0.5000 0.5000
O: 0.5000 0.0000 0.5000

(7)
Below is a relaxed RbPd4 crystal, with properties calculated at the PBE level.

Computed properties:
**ΔH_f (0 K)**: 1649 meV per atom
**Total moment**: 0.06 μB per cell

abc: 5.0189 5.0189 5.0189
angles: 90.00 90.00 90.00
Fractional positions:
Rb: 0.0000 0.0000 0.0000
Pd: 0.0000 0.0000 0.5000
Pd: 0.0000 0.5000 0.0000
Pd: 0.5000 0.0000 0.0000
Pd: 0.5000 0.5000 0.5000

(8)
Below is a relaxed Rb3MgPb2F9 crystal, with properties calculated at the PBE level.

Computed properties:
**Formation energy without anion corrections**: -2752 meV/atom
**Total moment**: 0.00 μB per cell

abc: 6.4912 6.4912 7.9424
angles: 90.00 90.00 120.00
Fractional positions:
Rb: 0.0000 0.0000 0.0000
Rb: 0.3333 0.6667 0.6667
Rb: 0.6667 0.3333 0.3333
Mg: 0.0000 0.0000 0.5000
Pb: 0.3333 0.6667 0.1908
Pb: 0.6667 0.3333 0.8092
F: 0.0000 0.5000 0.0000
F: 0.1478 0.2957 0.3528
F: 0.1478 0.8522 0.3528
F: 0.2957 0.1478 0.6472
F: 0.5000 0.0000 0.0000
F: 0.5000 0.5000 0.0000
F: 0.7043 0.8522 0.3528
F: 0.8522 0.1478 0.6472
F: 0.8522 0.7043 0.6472

(9)
Below is a relaxed La8Sm2Sc3 crystal, with properties calculated at the PBE level.

Computed properties:
**ΔH_f (0 K)**: 170 meV per atom
**Total moment**: 0.00 μB per cell

abc: 8.8869 8.8869 6.0065
angles: 105.63 105.63 82.89
Fractional positions:
La: 0.0575 0.0575 0.2838
La: 0.1049 0.5869 0.8604
La: 0.3610 0.3610 0.4064
La: 0.4131 0.8951 0.1396
La: 0.5869 0.1049 0.8604
La: 0.6390 0.6390 0.5936
La: 0.8951 0.4131 0.1396
La: 0.9425 0.9425 0.7162
Sm: 0.2004 0.2004 0.8403
Sm: 0.7996 0.7996 0.1597
Sc: 0.2426 0.7574 0.5000
Sc: 0.5000 0.5000 0.0000
Sc: 0.7574 0.2426 0.5000

(10)
Below is a relaxed Pr3Sm6Tm2Mg crystal, with properties calculated at the PBE level.

Computed properties:
**ΔH_f (0 K)**: 35 meV per atom
**Total moment**: 0.00 μB per cell

abc: 6.2703 6.2703 11.8351
angles: 95.10 95.10 120.07
Fractional positions:
Pr: 0.0000 0.0000 0.0000
Pr: 0.3334 0.6666 0.0000
Pr: 0.6666 0.3334 0.0000
Sm: 0.0888 0.4209 0.2582
Sm: 0.2472 0.2472 0.7431
Sm: 0.4209 0.0888 0.2582
Sm: 0.5791 0.9112 0.7418
Sm: 0.7528 0.7528 0.2569
Sm: 0.9112 0.5791 0.7418
Tm: 0.1662 0.8338 0.5000
Tm: 0.8338 0.1662 0.5000
Mg: 0.5000 0.5000 0.5000

(11)
Below is a relaxed Ac7Pt5Au crystal, with properties calculated at the PBE level.

Computed properties:
**ΔH_f (0 K)**: -1058 meV per atom
**Total moment**: 0.00 μB per cell

abc: 7.6195 7.6195 26.2446
angles: 90.03 90.03 33.43
Fractional positions:
Ac: 0.0461 0.0461 0.2501
Ac: 0.1359 0.1359 0.5361
Ac: 0.1359 0.1359 0.9640
Ac: 0.3219 0.3219 0.1734
Ac: 0.3217 0.3217 0.3265
Ac: 0.4099 0.4099 0.6053
Ac: 0.4098 0.4098 0.8947
Ac: 0.5902 0.5902 0.1053
Ac: 0.5901 0.5901 0.3947
Ac: 0.6783 0.6783 0.6735
Ac: 0.6781 0.6781 0.8266
Ac: 0.8641 0.8641 0.0360
Ac: 0.8641 0.8641 0.4639
Ac: 0.9539 0.9539 0.7499
Pt: 0.0421 0.0421 0.6454
Pt: 0.0418 0.0418 0.8545
Pt: 0.2267 0.2267 0.0724
Pt: 0.2266 0.2266 0.4276
Pt: 0.5000 0.5000 0.0000
Pt: 0.5000 0.5000 0.5000
Pt: 0.7734 0.7734 0.5724
Pt: 0.7733 0.7733 0.9276
Pt: 0.9582 0.9582 0.1455
Pt: 0.9579 0.9579 0.3546
Au: 0.2895 0.2895 0.7502
Au: 0.7105 0.7105 0.2498

(12)
Below is a relaxed TbSi2Ni3 crystal, with properties calculated at the PBE level.

Computed properties:
**Formation energy without anion corrections**: -766 meV/atom
**Total moment**: 0.00 μB per cell

abc: 7.8862 7.8862 9.2964
angles: 107.18 107.18 27.76
Fractional positions:
Tb: 0.0000 0.0000 0.0000
Tb: 0.1552 0.1552 0.6986
Tb: 0.8448 0.8448 0.3014
Si: 0.2002 0.2002 0.1307
Si: 0.3611 0.3611 0.5492
Si: 0.4701 0.4701 0.2277
Si: 0.5299 0.5299 0.7723
Si: 0.6389 0.6389 0.4508
Si: 0.7998 0.7998 0.8693
Ni: 0.0476 0.0476 0.3417
Ni: 0.2164 0.2164 0.3930
Ni: 0.3231 0.3231 0.0317
Ni: 0.3732 0.3732 0.7966
Ni: 0.5000 0.5000 0.5000
Ni: 0.6268 0.6268 0.2034
Ni: 0.6769 0.6769 0.9683
Ni: 0.7836 0.7836 0.6070
Ni: 0.9524 0.9524 0.6583